# HfPa6Ti2

A geometry-optimized HfPa6Ti2 structure (GGA-PBE, Alexandria).

Cell lengths 8.8337, 8.8337, 3.0120 Å; angles 83.11, 83.11, 60.39 degrees
With the nearest neighbours (Å) after each atom.
Element x y z (fractional)
Hf (0.0000, 0.0000, 0.0000)  2 Hf 3.01, 12 Pa 3.30-3.37
Pa (0.0046, 0.6589, 0.6431)  5 Pa 2.94-3.07, 2 Ti 3.06-3.16
Pa (0.9954, 0.3411, 0.3569)  5 Pa 2.94-3.07, 2 Ti 3.06-3.16
Pa (0.3411, 0.9954, 0.3569)  5 Pa 2.94-3.07, 2 Ti 3.06-3.16
Pa (0.6620, 0.3380, 0.5000)  5 Pa 2.88-3.01, 2 Ti 3.11
Pa (0.3380, 0.6620, 0.5000)  5 Pa 2.88-3.01, 2 Ti 3.11
Pa (0.6589, 0.0046, 0.6431)  5 Pa 2.94-3.07, 2 Ti 3.06-3.16
Ti (0.6610, 0.6610, 0.9549)  2 Ti 3.01, 8 Pa 3.06-3.31
Ti (0.3390, 0.3390, 0.0451)  2 Ti 3.01, 8 Pa 3.06-3.31

Output
The energy is -81.92 eV/cell. The calculation puts the energy relative to the elements at 77 kJ/mol of formula units. The crystal system is monoclinic.

=====

# TlTeRu2

A geometry-optimized TlTeRu2 structure (GGA-PBE, Alexandria).

Cell lengths 5.0221, 3.2487, 4.7069 Å; angles 90.26, 90.00, 90.00 degrees
With the nearest neighbours (Å) after each atom.
Element x y z (fractional)
Ru (0.0000, 0.8730, 0.0412)  2 Te 2.55, 2 Tl 2.84
Ru (0.5000, 0.3755, 0.2428)  2 Te 2.71, 4 Tl 2.80-2.92
Te (0.0000, 0.3760, 0.4588)  4 Ru 2.55-2.71
Tl (0.5000, 0.8755, 0.7573)  6 Ru 2.80-2.92

Output
For the polymorph energy (0 for the lowest one), the calculation gives 82 meV per atom. The uncorrected formation energy comes out at 0.46 eV per atom. The energy is -22.24 eV/cell. The crystal system is monoclinic.

=====

# Be2InCl

A geometry-optimized Be2InCl structure (GGA-PBE, Alexandria).

Cell lengths 4.7249, 4.7249, 4.7249 Å; angles 60.00, 60.00, 60.00 degrees
With the nearest neighbours (Å) after each atom.
Element x y z (fractional)
Be (0.2500, 0.2500, 0.2500)  4 Cl 2.89, 4 In 2.89
Be (0.7500, 0.7500, 0.7500)  4 Cl 2.89, 4 In 2.89
Cl (0.0000, 0.0000, 0.0000)  8 Be 2.89
In (0.5000, 0.5000, 0.5000)  8 Be 2.89

Output
For the polymorph energy (0 for the lowest one), the calculation gives 729 meV per atom. The uncorrected formation energy comes out at 0.92 eV per atom. The energy is -8.35 eV/cell. The crystal system is cubic.